{
  "formula": "Mg2CdFe",
  "functional": "PBE-GGA",
  "state": "relaxed",
  "lattice_angstrom": [[5.074, 0.018, 0.000], [-1.577, 4.822, 0.000], [0.000, 0.000, 2.974]],
  "species": ["Cd", "Fe", "Mg", "Mg"],
  "frac_coords": [[0.500, 0.000, 0.500], [0.000, 0.500, 0.500], [0.000, 0.000, 0.000], [0.500, 0.500, 0.000]],
  "formation_energy_kj_per_mol_atoms": 17,
  "total_energy_ev_per_cell": -11.85,
  "total_magnetization_mub_per_fu": 2.28
}